VASP calculation (PBE) on an optimized crystal structure of BaBr2O2.

Its symmetry is C2/c, No. 15. The calculation puts the total energy at -20.8 eV/f.u.

Cell: 5.661 5.661 10.566 Å, 107.88 107.88 65.35°
Fractional coordinates of all 10 atoms:
Ba  0.020  0.980  0.750
Ba  0.980  0.020  0.250
Br  0.315  0.347  0.164
Br  0.347  0.315  0.664
Br  0.653  0.685  0.336
Br  0.685  0.653  0.836
O  0.026  0.868  0.478
O  0.132  0.974  0.022
O  0.868  0.026  0.978
O  0.974  0.132  0.522